Below is crystalline ZnCo10B3 at its relaxed geometry, with properties calculated at the PBE level.

Summary:
N(E_F), states/eV/cell: 36.31
Volume, Å³/atom: 10.133
Raw total energy, eV/cell: -188.2
Formation energy, meV per atom: -123

a = 7.3757 Å, b = 7.3757 Å, c = 7.3757 Å
α = 60.00°, β = 60.00°, γ = 60.00°
Last column: nearest neighbours and their distance in Å.
Element x y z (fractional)
Zn: 0.2500 0.2500 0.2500  4 Co 2.40
Zn: 0.7500 0.7500 0.7500  4 Co 2.40
Co: 0.0000 0.0000 0.3348  2 B 2.09
Co: 0.0000 0.0000 0.6652  2 B 2.09
Co: 0.0000 0.3348 0.0000  2 B 2.09
Co: 0.0000 0.3348 0.6652  2 B 2.09
Co: 0.0000 0.6652 0.0000  2 B 2.09
Co: 0.0000 0.6652 0.3348  2 B 2.09
Co: 0.1481 0.6173 0.6173  3 B 2.05
Co: 0.3348 0.0000 0.0000  2 B 2.09
Co: 0.3348 0.0000 0.6652  2 B 2.09
Co: 0.3348 0.6652 0.0000  2 B 2.09
Co: 0.3827 0.3827 0.3827  3 B 2.05
Co: 0.3827 0.3827 0.8519  3 B 2.05
Co: 0.3827 0.8519 0.3827  3 B 2.05
Co: 0.6173 0.1481 0.6173  3 B 2.05
Co: 0.6173 0.6173 0.1481  3 B 2.05
Co: 0.6173 0.6173 0.6173  3 B 2.05
Co: 0.6652 0.0000 0.0000  2 B 2.09
Co: 0.6652 0.0000 0.3348  2 B 2.09
Co: 0.6652 0.3348 0.0000  2 B 2.09
Co: 0.8519 0.3827 0.3827  3 B 2.05
B: 0.2777 0.2777 0.7223  8 Co 2.05-2.09
B: 0.2777 0.7223 0.2777  8 Co 2.05-2.09
B: 0.2777 0.7223 0.7223  8 Co 2.05-2.09
B: 0.7223 0.2777 0.2777  8 Co 2.05-2.09
B: 0.7223 0.2777 0.7223  8 Co 2.05-2.09
B: 0.7223 0.7223 0.2777  8 Co 2.05-2.09